Run A
# PBE PdBr3O, relaxed
# Size of the total moment in μB per formula unit: 0.0
# D(E_F) in states/eV per cell: 18.3
# V in Å³ per atom: 26.019
data_PdBr3O
_cell_length_a 5.067
_cell_length_b 5.067
_cell_length_c 5.067
_cell_angle_alpha 90.00
_cell_angle_beta 90.00
_cell_angle_gamma 90.00
_symmetry_space_group_name_H-M 'P m -3 m'
_symmetry_Int_Tables_number 221
_symmetry_space_group_name_Hall '-P 4 2 3'
loop_
_atom_site_label
_atom_site_fract_x
_atom_site_fract_y
_atom_site_fract_z
Pd1 0.000 0.000 0.000
Br1 0.000 0.000 0.500
O1 0.500 0.500 0.500

---

Run B
# PBE PdBr3O, relaxed
# Size of the total moment in μB per formula unit: 0.5
# D(E_F) in states/eV per cell: 11.9
# V in Å³ per atom: 29.002
data_PdBr3O
_cell_length_a 7.531
_cell_length_b 6.522
_cell_length_c 12.583
_cell_angle_alpha 90.00
_cell_angle_beta 110.20
_cell_angle_gamma 90.00
_symmetry_space_group_name_H-M 'P 1 21/c 1'
_symmetry_Int_Tables_number 14
_symmetry_space_group_name_Hall '-P 2ybc'
loop_
_atom_site_label
_atom_site_fract_x
_atom_site_fract_y
_atom_site_fract_z
Pd1 0.090 0.243 0.053
Br1 0.019 0.033 0.851
Br2 0.221 0.578 0.004
Br3 0.499 0.123 0.241
O1 0.351 0.127 0.093

---

Run C
# PBE PdBr3O, relaxed
# Size of the total moment in μB per formula unit: 1.2
# D(E_F) in states/eV per cell: 6.8
# V in Å³ per atom: 21.299
data_PdBr3O
_cell_length_a 4.740
_cell_length_b 4.740
_cell_length_c 4.740
_cell_angle_alpha 90.00
_cell_angle_beta 90.00
_cell_angle_gamma 90.00
_symmetry_space_group_name_H-M 'P m -3 m'
_symmetry_Int_Tables_number 221
_symmetry_space_group_name_Hall '-P 4 2 3'
loop_
_atom_site_label
_atom_site_fract_x
_atom_site_fract_y
_atom_site_fract_z
Pd1 0.000 0.000 0.000
Br1 0.000 0.500 0.500
O1 0.500 0.500 0.500

---

Of them, run A has the lowest stability.

---

Run A
# PBE Pm2BrO2, relaxed
# Size of the total moment in μB per formula unit: 0.0
# D(E_F) in states/eV per cell: 2.6
# V in Å³ per atom: 22.165
data_Pm2BrO2
_cell_length_a 11.767
_cell_length_b 4.821
_cell_length_c 8.208
_cell_angle_alpha 90.00
_cell_angle_beta 107.83
_cell_angle_gamma 90.00
_symmetry_space_group_name_H-M 'C 1 2/m 1'
_symmetry_Int_Tables_number 12
_symmetry_space_group_name_Hall '-C 2y'
loop_
_atom_site_label
_atom_site_fract_x
_atom_site_fract_y
_atom_site_fract_z
Pm1 0.041 0.000 0.229
Pm2 0.153 0.500 0.014
Br1 0.165 0.000 0.616
O1 0.032 0.500 0.194
O2 0.138 0.000 0.015

---

Run B
# PBE Pm2BrO2, relaxed
# Size of the total moment in μB per formula unit: 0.3
# D(E_F) in states/eV per cell: 1.2
# V in Å³ per atom: 19.830
data_Pm2BrO2
_cell_length_a 3.882
_cell_length_b 3.882
_cell_length_c 6.578
_cell_angle_alpha 90.00
_cell_angle_beta 90.00
_cell_angle_gamma 90.00
_symmetry_space_group_name_H-M 'P 4/m m m'
_symmetry_Int_Tables_number 123
_symmetry_space_group_name_Hall '-P 4 2'
loop_
_atom_site_label
_atom_site_fract_x
_atom_site_fract_y
_atom_site_fract_z
Pm1 0.000 0.000 0.208
Br1 0.500 0.500 0.500
O1 0.000 0.500 0.000

---

Of them, run B has the lowest stability.

---

Run A
# PBE PrBr3O6, relaxed
# Size of the total moment in μB per formula unit: 0.0
# D(E_F) in states/eV per cell: 0.0
# V in Å³ per atom: 21.626
data_PrBr3O6
_cell_length_a 5.591
_cell_length_b 6.521
_cell_length_c 11.936
_cell_angle_alpha 90.00
_cell_angle_beta 96.32
_cell_angle_gamma 90.00
_symmetry_space_group_name_H-M 'P 1 2/c 1'
_symmetry_Int_Tables_number 13
_symmetry_space_group_name_Hall '-P 2yc'
loop_
_atom_site_label
_atom_site_fract_x
_atom_site_fract_y
_atom_site_fract_z
Pr1 0.000 0.115 0.250
Br1 0.204 0.309 0.965
Br2 0.500 0.470 0.750
O1 0.170 0.152 0.080
O2 0.234 0.151 0.848
O3 0.296 0.371 0.312

---

Run B
# PBE PrBr3O6, relaxed
# Size of the total moment in μB per formula unit: 2.0
# V in Å³ per atom: 26.307
data_PrBr3O6
_cell_length_a 6.428
_cell_length_b 7.702
_cell_length_c 11.159
_cell_angle_alpha 90.00
_cell_angle_beta 107.75
_cell_angle_gamma 90.00
_symmetry_space_group_name_H-M 'P 1 2/c 1'
_symmetry_Int_Tables_number 13
_symmetry_space_group_name_Hall '-P 2yc'
loop_
_atom_site_label
_atom_site_fract_x
_atom_site_fract_y
_atom_site_fract_z
Pr1 0.000 0.078 0.250
Br1 0.158 0.214 0.979
Br2 0.500 0.212 0.750
O1 0.013 0.253 0.093
O2 0.336 0.078 0.811
O3 0.446 0.360 0.287

---

Of them, run B has the lowest stability.

---

Run A
# PBE Pt3BrO, relaxed
# Size of the total moment in μB per formula unit: 0.0
# D(E_F) in states/eV per cell: 4.0
# V in Å³ per atom: 16.763
data_Pt3BrO
_cell_length_a 4.376
_cell_length_b 4.376
_cell_length_c 4.376
_cell_angle_alpha 90.00
_cell_angle_beta 90.00
_cell_angle_gamma 90.00
_symmetry_space_group_name_H-M 'P m -3 m'
_symmetry_Int_Tables_number 221
_symmetry_space_group_name_Hall '-P 4 2 3'
loop_
_atom_site_label
_atom_site_fract_x
_atom_site_fract_y
_atom_site_fract_z
Pt1 0.000 0.000 0.500
Br1 0.500 0.500 0.500
O1 0.000 0.000 0.000

---

Run B
# PBE Pt3BrO, relaxed
# Size of the total moment in μB per formula unit: 0.0
# D(E_F) in states/eV per cell: 6.3
# V in Å³ per atom: 21.135
data_Pt3BrO
_cell_length_a 4.728
_cell_length_b 4.728
_cell_length_c 4.728
_cell_angle_alpha 90.00
_cell_angle_beta 90.00
_cell_angle_gamma 90.00
_symmetry_space_group_name_H-M 'P m -3 m'
_symmetry_Int_Tables_number 221
_symmetry_space_group_name_Hall '-P 4 2 3'
loop_
_atom_site_label
_atom_site_fract_x
_atom_site_fract_y
_atom_site_fract_z
Pt1 0.000 0.000 0.500
Br1 0.000 0.000 0.000
O1 0.500 0.500 0.500

---

Of them, run B has the lowest stability.

---

Run A
# PBE PtBr3O, relaxed
# Size of the total moment in μB per formula unit: 0.0
# D(E_F) in states/eV per cell: 14.4
# V in Å³ per atom: 26.204
data_PtBr3O
_cell_length_a 5.079
_cell_length_b 5.079
_cell_length_c 5.079
_cell_angle_alpha 90.00
_cell_angle_beta 90.00
_cell_angle_gamma 90.00
_symmetry_space_group_name_H-M 'P m -3 m'
_symmetry_Int_Tables_number 221
_symmetry_space_group_name_Hall '-P 4 2 3'
loop_
_atom_site_label
_atom_site_fract_x
_atom_site_fract_y
_atom_site_fract_z
Pt1 0.000 0.000 0.000
Br1 0.000 0.000 0.500
O1 0.500 0.500 0.500

---

Run B
# PBE PtBr3O, relaxed
# Size of the total moment in μB per formula unit: 1.4
# D(E_F) in states/eV per cell: 5.6
# V in Å³ per atom: 20.829
data_PtBr3O
_cell_length_a 4.705
_cell_length_b 4.705
_cell_length_c 4.705
_cell_angle_alpha 90.00
_cell_angle_beta 90.00
_cell_angle_gamma 90.00
_symmetry_space_group_name_H-M 'P m -3 m'
_symmetry_Int_Tables_number 221
_symmetry_space_group_name_Hall '-P 4 2 3'
loop_
_atom_site_label
_atom_site_fract_x
_atom_site_fract_y
_atom_site_fract_z
Pt1 0.000 0.000 0.000
Br1 0.000 0.500 0.500
O1 0.500 0.500 0.500

---

Of them, run B has the lowest stability.

---

Run A
# PBE PtSe2BrO, relaxed
# Size of the total moment in μB per formula unit: 0.0
# D(E_F) in states/eV per cell: 6.0
# V in Å³ per atom: 18.356
data_PtSe2BrO
_cell_length_a 4.425
_cell_length_b 4.425
_cell_length_c 4.686
_cell_angle_alpha 90.00
_cell_angle_beta 90.00
_cell_angle_gamma 90.00
_symmetry_space_group_name_H-M 'P 4/m m m'
_symmetry_Int_Tables_number 123
_symmetry_space_group_name_Hall '-P 4 2'
loop_
_atom_site_label
_atom_site_fract_x
_atom_site_fract_y
_atom_site_fract_z
Pt1 0.000 0.000 0.000
Se1 0.000 0.500 0.500
Br1 0.500 0.500 0.000
O1 0.500 0.500 0.500

---

Run B
# PBE PtSe2BrO, relaxed
# Size of the total moment in μB per formula unit: 0.0
# D(E_F) in states/eV per cell: 10.8
# V in Å³ per atom: 24.753
data_PtSe2BrO
_cell_length_a 4.903
_cell_length_b 4.903
_cell_length_c 5.148
_cell_angle_alpha 90.00
_cell_angle_beta 90.00
_cell_angle_gamma 90.00
_symmetry_space_group_name_H-M 'P 4/m m m'
_symmetry_Int_Tables_number 123
_symmetry_space_group_name_Hall '-P 4 2'
loop_
_atom_site_label
_atom_site_fract_x
_atom_site_fract_y
_atom_site_fract_z
Pt1 0.000 0.000 0.000
Se1 0.000 0.500 0.000
Br1 0.000 0.000 0.500
O1 0.500 0.500 0.500

---

Of them, run B has the lowest stability.